(1)
This record from Alexandria describes an optimized crystal structure of KLiBeS2. The functional is PBE. Values from VASP.

## Properties
Formation energy without anion corrections ... -1.063 eV per atom
M_tot ... 0.00 μB per atom
Raw total energy ... -4.062 eV/atom

Quantum ESPRESSO input file:
```
&SYSTEM
  ibrav = 0, nat = 10, ntyp = 4
/
ATOMIC_SPECIES
K 39.10 K.upf
Li 6.94 Li.upf
Be 9.01 Be.upf
S 32.06 S.upf
CELL_PARAMETERS angstrom
7.009 0.000 0.000
0.000 5.343 0.000
-1.925 0.000 6.004
ATOMIC_POSITIONS crystal
K 0.000 0.241 0.250
K 0.000 0.759 0.750
Li 0.500 0.498 0.750
Li 0.500 0.502 0.250
Be 0.500 0.000 0.000
Be 0.500 0.000 0.500
S 0.296 0.246 0.930
S 0.296 0.754 0.430
S 0.704 0.246 0.570
S 0.704 0.754 0.070
```

=====

(2)
This record from Alexandria describes an optimized crystal structure of K2LiBeSb2. The functional is PBE. Values from VASP.

## Properties
Formation energy without anion corrections ... -0.321 eV per atom
M_tot ... 0.00 μB per atom
Raw total energy ... -3.001 eV/atom

Quantum ESPRESSO input file:
```
&SYSTEM
  ibrav = 0, nat = 12, ntyp = 4
/
ATOMIC_SPECIES
K 39.10 K.upf
Li 6.94 Li.upf
Be 9.01 Be.upf
Sb 121.76 Sb.upf
CELL_PARAMETERS angstrom
-3.326 7.788 3.302
3.326 -7.788 3.302
3.326 7.788 -3.302
ATOMIC_POSITIONS crystal
K 0.167 0.235 0.402
K 0.333 0.735 0.067
K 0.667 0.265 0.933
K 0.833 0.765 0.598
Li 0.250 0.250 0.000
Li 0.750 0.750 0.000
Be 0.250 0.750 0.500
Be 0.750 0.250 0.500
Sb 0.087 0.717 0.804
Sb 0.413 0.217 0.630
Sb 0.587 0.783 0.370
Sb 0.913 0.283 0.196
```

=====

(3)
This record from Alexandria describes an optimized crystal structure of KLiBeSe2. The functional is PBE. Values from VASP.

## Properties
Formation energy without anion corrections ... -0.944 eV per atom
M_tot ... 0.00 μB per atom
Raw total energy ... -3.685 eV/atom

Quantum ESPRESSO input file:
```
&SYSTEM
  ibrav = 0, nat = 10, ntyp = 4
/
ATOMIC_SPECIES
K 39.10 K.upf
Li 6.94 Li.upf
Be 9.01 Be.upf
Se 78.96 Se.upf
CELL_PARAMETERS angstrom
7.579 0.000 0.000
0.000 5.716 0.000
-2.502 0.000 5.725
ATOMIC_POSITIONS crystal
K 0.000 0.242 0.250
K 0.000 0.758 0.750
Li 0.500 0.500 0.250
Li 0.500 0.500 0.750
Be 0.500 0.000 0.000
Be 0.500 0.000 0.500
Se 0.287 0.244 0.896
Se 0.287 0.756 0.396
Se 0.713 0.244 0.604
Se 0.713 0.756 0.104
```

=====

(4)
This record from Alexandria describes an optimized crystal structure of KLi2TaBe. The functional is PBE. Values from VASP.

## Properties
M_tot ... 1.09 μB per atom
Formation enthalpy at 0 K ... 1930 meV per atom
Raw total energy ... -2.171 eV/atom

Quantum ESPRESSO input file:
```
&SYSTEM
  ibrav = 0, nat = 5, ntyp = 4
/
ATOMIC_SPECIES
K 39.10 K.upf
Li 6.94 Li.upf
Ta 180.95 Ta.upf
Be 9.01 Be.upf
CELL_PARAMETERS angstrom
5.453 0.000 0.000
0.000 5.453 0.000
0.000 0.000 6.501
ATOMIC_POSITIONS crystal
K 0.000 0.000 0.000
Li 0.000 0.500 0.500
Li 0.500 0.000 0.500
Ta 0.000 0.000 0.500
Be 0.500 0.500 0.000
```

=====

> Which of these has the highest raw total energy?

KLi2TaBe